(1)
A relaxed structure of NdTlAs. Source: Alexandria via LeMat-Bulk, functional GGA-PBE.

Values from the calculation:
E_form   -0.42 eV per atom
Crystal system   trigonal
Fermi-level density of states   1.98 states/eV per cell

```
data_NdTlAs
_chemical_formula_sum 'Nd2 Tl2 As2'
_cell_length_a 4.9344
_cell_length_b 4.9344
_cell_length_c 8.9719
_cell_angle_alpha 90.00
_cell_angle_beta 90.00
_cell_angle_gamma 120.00
_space_group_name_H-M_alt 'P 1'
_space_group_IT_number 1
_space_group_name_Hall 'P 1'
loop_
_atom_site_label
_atom_site_type_symbol
_atom_site_fract_x
_atom_site_fract_y
_atom_site_fract_z
_atom_site_occupancy
Nd1 Nd 0.0000 0.0000 0.2397 1
Nd2 Nd 0.0000 0.0000 0.7603 1
Tl1 Tl 0.3333 0.6667 0.4510 1
Tl2 Tl 0.6667 0.3333 0.5490 1
As1 As 0.3333 0.6667 0.8314 1
As2 As 0.6667 0.3333 0.1686 1
```

***

(2)
A relaxed structure of Nd3TlAs. Source: Alexandria via LeMat-Bulk, functional GGA-PBE.

Values from the calculation:
E_form   -0.73 eV per atom
Crystal system   orthorhombic
Fermi-level density of states   17.60 states/eV per cell

```
data_Nd3TlAs
_chemical_formula_sum 'Nd12 Tl4 As4'
_cell_length_a 9.1678
_cell_length_b 4.2119
_cell_length_c 16.1927
_cell_angle_alpha 90.00
_cell_angle_beta 90.00
_cell_angle_gamma 90.00
_space_group_name_H-M_alt 'P 1'
_space_group_IT_number 1
_space_group_name_Hall 'P 1'
loop_
_atom_site_label
_atom_site_type_symbol
_atom_site_fract_x
_atom_site_fract_y
_atom_site_fract_z
_atom_site_occupancy
Nd1 Nd 0.0244 0.2500 0.1085 1
Nd2 Nd 0.1547 0.2500 0.5280 1
Nd3 Nd 0.1750 0.7500 0.2917 1
Nd4 Nd 0.3250 0.2500 0.7917 1
Nd5 Nd 0.3453 0.7500 0.0280 1
Nd6 Nd 0.4756 0.7500 0.6085 1
Nd7 Nd 0.5244 0.2500 0.3915 1
Nd8 Nd 0.6547 0.2500 0.9720 1
Nd9 Nd 0.6750 0.7500 0.2083 1
Nd10 Nd 0.8250 0.2500 0.7083 1
Nd11 Nd 0.8453 0.7500 0.4720 1
Nd12 Nd 0.9756 0.7500 0.8915 1
Tl1 Tl 0.1092 0.7500 0.6875 1
Tl2 Tl 0.3908 0.2500 0.1875 1
Tl3 Tl 0.6092 0.7500 0.8125 1
Tl4 Tl 0.8908 0.2500 0.3125 1
As1 As 0.1773 0.2500 0.9477 1
As2 As 0.3227 0.7500 0.4477 1
As3 As 0.6773 0.2500 0.5523 1
As4 As 0.8227 0.7500 0.0523 1
```

***

(3)
A relaxed structure of NdTmAs. Source: Alexandria via LeMat-Bulk, functional GGA-PBE.

Values from the calculation:
E_form   -0.81 eV per atom
Crystal system   tetragonal
Fermi-level density of states   4.90 states/eV per cell

```
data_NdTmAs
_chemical_formula_sum 'Nd2 Tm2 As2'
_cell_length_a 4.2983
_cell_length_b 4.2983
_cell_length_c 8.2976
_cell_angle_alpha 90.00
_cell_angle_beta 90.00
_cell_angle_gamma 90.00
_space_group_name_H-M_alt 'P 1'
_space_group_IT_number 1
_space_group_name_Hall 'P 1'
loop_
_atom_site_label
_atom_site_type_symbol
_atom_site_fract_x
_atom_site_fract_y
_atom_site_fract_z
_atom_site_occupancy
Nd1 Nd 0.2500 0.7500 0.0000 1
Nd2 Nd 0.7500 0.2500 0.0000 1
Tm1 Tm 0.2500 0.2500 0.3620 1
Tm2 Tm 0.7500 0.7500 0.6380 1
As1 As 0.2500 0.2500 0.7069 1
As2 As 0.7500 0.7500 0.2931 1
```

***

(4)
A relaxed structure of NdTm2As. Source: Alexandria via LeMat-Bulk, functional GGA-PBE.

Values from the calculation:
E_form   -0.40 eV per atom
Crystal system   trigonal
Fermi-level density of states   5.19 states/eV per cell

```
data_NdTm2As
_chemical_formula_sum 'Nd1 Tm2 As1'
_cell_length_a 10.6498
_cell_length_b 10.6498
_cell_length_c 10.6498
_cell_angle_alpha 20.24
_cell_angle_beta 20.24
_cell_angle_gamma 20.24
_space_group_name_H-M_alt 'P 1'
_space_group_IT_number 1
_space_group_name_Hall 'P 1'
loop_
_atom_site_label
_atom_site_type_symbol
_atom_site_fract_x
_atom_site_fract_y
_atom_site_fract_z
_atom_site_occupancy
Nd1 Nd 0.0000 0.0000 0.0000 1
Tm1 Tm 0.1119 0.1119 0.1119 1
Tm2 Tm 0.8881 0.8881 0.8881 1
As1 As 0.5000 0.5000 0.5000 1
```

***

(5)
A relaxed structure of NdTm5As6. Source: Alexandria via LeMat-Bulk, functional GGA-PBE.

Values from the calculation:
E_form   -1.50 eV per atom
Crystal system   monoclinic
Fermi-level density of states   1.92 states/eV per cell

```
data_NdTm5As6
_chemical_formula_sum 'Nd1 Tm5 As6'
_cell_length_a 7.1020
_cell_length_b 7.1020
_cell_length_c 7.1014
_cell_angle_alpha 99.60
_cell_angle_beta 99.60
_cell_angle_gamma 119.99
_space_group_name_H-M_alt 'P 1'
_space_group_IT_number 1
_space_group_name_Hall 'P 1'
loop_
_atom_site_label
_atom_site_type_symbol
_atom_site_fract_x
_atom_site_fract_y
_atom_site_fract_z
_atom_site_occupancy
Nd1 Nd 0.0000 0.0000 0.0000 1
Tm1 Tm 0.1648 0.8352 0.5000 1
Tm2 Tm 0.3327 0.6673 0.0000 1
Tm3 Tm 0.5000 0.5000 0.5000 1
Tm4 Tm 0.6673 0.3327 0.0000 1
Tm5 Tm 0.8352 0.1648 0.5000 1
As1 As 0.0850 0.4254 0.2548 1
As2 As 0.2560 0.2560 0.7465 1
As3 As 0.4254 0.0850 0.2548 1
As4 As 0.5746 0.9150 0.7452 1
As5 As 0.7440 0.7440 0.2535 1
As6 As 0.9150 0.5746 0.7452 1
```

***

(6)
A relaxed structure of Nd3TmAs4. Source: Alexandria via LeMat-Bulk, functional GGA-PBE.

Values from the calculation:
E_form   -1.50 eV per atom
ΔE to the lowest computed polymorph   0 kJ/mol of formula units
Crystal system   orthorhombic
Fermi-level density of states   0.67 states/eV per cell

```
data_Nd3TmAs4
_chemical_formula_sum 'Nd3 Tm1 As4'
_cell_length_a 7.3115
_cell_length_b 7.3115
_cell_length_c 4.2262
_cell_angle_alpha 90.00
_cell_angle_beta 90.00
_cell_angle_gamma 109.48
_space_group_name_H-M_alt 'P 1'
_space_group_IT_number 1
_space_group_name_Hall 'P 1'
loop_
_atom_site_label
_atom_site_type_symbol
_atom_site_fract_x
_atom_site_fract_y
_atom_site_fract_z
_atom_site_occupancy
Nd1 Nd 0.0000 0.0000 0.0000 1
Nd2 Nd 0.0000 0.5000 0.5000 1
Nd3 Nd 0.5000 0.0000 0.5000 1
Tm1 Tm 0.5000 0.5000 0.0000 1
As1 As 0.2544 0.7456 0.0000 1
As2 As 0.2585 0.2585 0.5000 1
As3 As 0.7415 0.7415 0.5000 1
As4 As 0.7456 0.2544 0.0000 1
```

***

(7)
A relaxed structure of NdTm3As4. Source: Alexandria via LeMat-Bulk, functional GGA-PBE.

Values from the calculation:
E_form   -1.49 eV per atom
Crystal system   orthorhombic
Fermi-level density of states   0.95 states/eV per cell

```
data_NdTm3As4
_chemical_formula_sum 'Nd1 Tm3 As4'
_cell_length_a 7.1303
_cell_length_b 7.1303
_cell_length_c 4.1202
_cell_angle_alpha 90.00
_cell_angle_beta 90.00
_cell_angle_gamma 109.46
_space_group_name_H-M_alt 'P 1'
_space_group_IT_number 1
_space_group_name_Hall 'P 1'
loop_
_atom_site_label
_atom_site_type_symbol
_atom_site_fract_x
_atom_site_fract_y
_atom_site_fract_z
_atom_site_occupancy
Nd1 Nd 0.0000 0.0000 0.0000 1
Tm1 Tm 0.0000 0.5000 0.5000 1
Tm2 Tm 0.5000 0.0000 0.5000 1
Tm3 Tm 0.5000 0.5000 0.0000 1
As1 As 0.2544 0.7456 0.0000 1
As2 As 0.2587 0.2587 0.5000 1
As3 As 0.7413 0.7413 0.5000 1
As4 As 0.7456 0.2544 0.0000 1
```

***

(8)
A relaxed structure of NdTmAs. Source: Alexandria via LeMat-Bulk, functional GGA-PBE.

Values from the calculation:
E_form   -0.82 eV per atom
Crystal system   trigonal
Fermi-level density of states   2.39 states/eV per cell

```
data_NdTmAs
_chemical_formula_sum 'Nd1 Tm1 As1'
_cell_length_a 4.0031
_cell_length_b 4.0031
_cell_length_c 6.5817
_cell_angle_alpha 90.00
_cell_angle_beta 90.00
_cell_angle_gamma 120.00
_space_group_name_H-M_alt 'P 1'
_space_group_IT_number 1
_space_group_name_Hall 'P 1'
loop_
_atom_site_label
_atom_site_type_symbol
_atom_site_fract_x
_atom_site_fract_y
_atom_site_fract_z
_atom_site_occupancy
Nd1 Nd 0.0000 0.0000 0.0000 1
Tm1 Tm 0.3333 0.6667 0.5198 1
As1 As 0.6667 0.3333 0.2756 1
```

***

(9)
A relaxed structure of Nd3TmAs4. Source: Alexandria via LeMat-Bulk, functional GGA-PBE.

Values from the calculation:
E_form   -1.49 eV per atom
ΔE to the lowest computed polymorph   6 kJ/mol of formula units
Crystal system   cubic
Fermi-level density of states   0.73 states/eV per cell

```
data_Nd3TmAs4
_chemical_formula_sum 'Nd3 Tm1 As4'
_cell_length_a 5.9730
_cell_length_b 5.9730
_cell_length_c 5.9730
_cell_angle_alpha 90.00
_cell_angle_beta 90.00
_cell_angle_gamma 90.00
_space_group_name_H-M_alt 'P 1'
_space_group_IT_number 1
_space_group_name_Hall 'P 1'
loop_
_atom_site_label
_atom_site_type_symbol
_atom_site_fract_x
_atom_site_fract_y
_atom_site_fract_z
_atom_site_occupancy
Nd1 Nd 0.0000 0.0000 0.5000 1
Nd2 Nd 0.0000 0.5000 0.0000 1
Nd3 Nd 0.5000 0.0000 0.0000 1
Tm1 Tm 0.5000 0.5000 0.5000 1
As1 As 0.0000 0.0000 0.0000 1
As2 As 0.0000 0.5000 0.5000 1
As3 As 0.5000 0.0000 0.5000 1
As4 As 0.5000 0.5000 0.0000 1
```

***

(10)
A relaxed structure of Nd4TmAs5. Source: Alexandria via LeMat-Bulk, functional GGA-PBE.

Values from the calculation:
E_form   -1.50 eV per atom
Crystal system   tetragonal
Fermi-level density of states   0.65 states/eV per cell

```
data_Nd4TmAs5
_chemical_formula_sum 'Nd4 Tm1 As5'
_cell_length_a 7.3323
_cell_length_b 7.3323
_cell_length_c 7.3323
_cell_angle_alpha 99.62
_cell_angle_beta 99.62
_cell_angle_gamma 131.75
_space_group_name_H-M_alt 'P 1'
_space_group_IT_number 1
_space_group_name_Hall 'P 1'
loop_
_atom_site_label
_atom_site_type_symbol
_atom_site_fract_x
_atom_site_fract_y
_atom_site_fract_z
_atom_site_occupancy
Nd1 Nd 0.0982 0.7002 0.7984 1
Nd2 Nd 0.2998 0.0982 0.3980 1
Nd3 Nd 0.7002 0.9018 0.6020 1
Nd4 Nd 0.9018 0.2998 0.2016 1
Tm1 Tm 0.5000 0.5000 0.0000 1
As1 As 0.0000 0.0000 0.0000 1
As2 As 0.2065 0.4020 0.6085 1
As3 As 0.4020 0.7935 0.1955 1
As4 As 0.5980 0.2065 0.8045 1
As5 As 0.7935 0.5980 0.3915 1
```

***

(11)
A relaxed structure of Nd2TmUAs4. Source: Alexandria via LeMat-Bulk, functional GGA-PBE.

Values from the calculation:
E_form   -1.31 eV per atom
Crystal system   monoclinic
Fermi-level density of states   8.34 states/eV per cell

```
data_Nd2TmUAs4
_chemical_formula_sum 'Nd2 Tm1 U1 As4'
_cell_length_a 7.2116
_cell_length_b 4.1549
_cell_length_c 7.2325
_cell_angle_alpha 90.00
_cell_angle_beta 109.16
_cell_angle_gamma 90.00
_space_group_name_H-M_alt 'P 1'
_space_group_IT_number 1
_space_group_name_Hall 'P 1'
loop_
_atom_site_label
_atom_site_type_symbol
_atom_site_fract_x
_atom_site_fract_y
_atom_site_fract_z
_atom_site_occupancy
Nd1 Nd 0.0000 0.0000 0.0000 1
Nd2 Nd 0.5000 0.5000 0.0000 1
Tm1 Tm 0.0000 0.5000 0.5000 1
U1 U 0.5000 0.0000 0.5000 1
As1 As 0.2474 0.0000 0.7345 1
As2 As 0.2551 0.5000 0.2643 1
As3 As 0.7449 0.5000 0.7357 1
As4 As 0.7526 0.0000 0.2655 1
```

***

(12)
A relaxed structure of NdTmU2As4. Source: Alexandria via LeMat-Bulk, functional GGA-PBE.

Values from the calculation:
E_form   -1.11 eV per atom
Crystal system   monoclinic
Fermi-level density of states   7.82 states/eV per cell

```
data_NdTmU2As4
_chemical_formula_sum 'Nd1 Tm1 U2 As4'
_cell_length_a 7.0898
_cell_length_b 4.0910
_cell_length_c 7.2414
_cell_angle_alpha 90.00
_cell_angle_beta 109.02
_cell_angle_gamma 90.00
_space_group_name_H-M_alt 'P 1'
_space_group_IT_number 1
_space_group_name_Hall 'P 1'
loop_
_atom_site_label
_atom_site_type_symbol
_atom_site_fract_x
_atom_site_fract_y
_atom_site_fract_z
_atom_site_occupancy
Nd1 Nd 0.0000 0.0000 0.0000 1
Tm1 Tm 0.5000 0.5000 0.0000 1
U1 U 0.0000 0.5000 0.5000 1
U2 U 0.5000 0.0000 0.5000 1
As1 As 0.2555 0.0000 0.7474 1
As2 As 0.2590 0.5000 0.2576 1
As3 As 0.7410 0.5000 0.7424 1
As4 As 0.7445 0.0000 0.2526 1
```

***

Q: Which value of Fermi-level density of states does entry 8 give?
A: 2.39 states/eV per cell